Record 1
Here is Ca2SbIr at its PBEsol-relaxed geometry from Alexandria via LeMat-Bulk. Energies are from SCAN.

Results
Energy relative to the elements, uncorrected in eV per atom: -0.56
M_tot in μB/f.u.: 0.00

Cell lengths 3.2925, 3.2925, 8.4477 Å; angles 90.00, 90.00, 90.00 degrees
With the nearest neighbours (Å) after each atom.
Fractional coordinates of all 4 atoms:
Sb  0.5000  0.5000  0.5000  4 Sb 3.29, 8 Ca 3.40
Ca  0.0000  0.0000  0.7941  4 Ir 2.91
Ca  0.0000  0.0000  0.2059  4 Ir 2.91
Ir  0.5000  0.5000  0.0000  8 Ca 2.91

=====

Record 2
Here is CaSb2Ir at its PBEsol-relaxed geometry from Alexandria via LeMat-Bulk. Energies are from SCAN.

Results
Energy relative to the elements, uncorrected in eV per atom: -0.18
M_tot in μB/f.u.: 0.00

Cell lengths 4.0664, 4.5246, 4.5246 Å; angles 90.00, 90.00, 90.00 degrees
With the nearest neighbours (Å) after each atom.
Fractional coordinates of all 4 atoms:
Sb  0.0000  0.0000  0.5000  4 Ir 3.04, 4 Ca 3.04, 4 Sb 3.20
Sb  0.0000  0.5000  0.0000  4 Ca 3.04, 4 Ir 3.04, 4 Sb 3.20
Ca  0.5000  0.5000  0.5000  8 Sb 3.04, 4 Ir 3.20
Ir  0.5000  0.0000  0.0000  8 Sb 3.04, 4 Ca 3.20

=====

Record 3
Here is Ca2SbIr at its PBEsol-relaxed geometry from Alexandria via LeMat-Bulk. Energies are from SCAN.

Results
Energy relative to the elements, uncorrected in eV per atom: -0.50
M_tot in μB/f.u.: 0.00

Cell lengths 3.3927, 4.0824, 6.3486 Å; angles 90.00, 90.00, 90.00 degrees
With the nearest neighbours (Å) after each atom.
Fractional coordinates of all 4 atoms:
Sb  0.5000  0.5000  0.5000  8 Ca 3.15, 2 Ir 3.17, 2 Sb 3.39
Ca  0.0000  0.0000  0.7676  1 Ca 2.95, 4 Ir 3.04, 4 Sb 3.15
Ca  0.0000  0.0000  0.2324  1 Ca 2.95, 4 Ir 3.04, 4 Sb 3.15
Ir  0.5000  0.5000  0.0000  8 Ca 3.04, 2 Sb 3.17, 2 Ir 3.39

=====

Record 4
Here is Ca2SbIr at its PBEsol-relaxed geometry from Alexandria via LeMat-Bulk. Energies are from SCAN.

Results
Energy relative to the elements, uncorrected in eV per atom: -0.60
M_tot in μB/f.u.: 0.00

Cell lengths 3.2989, 4.8727, 6.7270 Å; angles 111.23, 104.19, 90.00 degrees
With the nearest neighbours (Å) after each atom.
Fractional coordinates of all 4 atoms:
Sb  0.8135  0.3135  0.6270  2 Ir 2.66
Ca  0.9996  0.9996  0.9991  4 Ir 2.95, 2 Ca 3.30
Ca  0.2007  0.7007  0.4014  2 Ir 3.07, 4 Sb 3.24, 4 Ca 3.30-3.44
Ir  0.4862  0.4862  0.9725  2 Sb 2.66, 4 Ca 2.95

=====

Record 5
Here is CaSbIr at its PBEsol-relaxed geometry from Alexandria via LeMat-Bulk. Energies are from SCAN.

Results
Energy relative to the elements, uncorrected in eV per atom: -0.38
M_tot in μB/f.u.: 0.00

Cell lengths 3.3225, 3.3225, 6.2358 Å; angles 105.45, 105.45, 90.00 degrees
With the nearest neighbours (Å) after each atom.
Fractional coordinates of all 3 atoms:
Sb  0.6978  0.6978  0.3957  4 Ir 2.71
Ca  0.9883  0.9883  0.9765  4 Ir 3.09, 4 Ca 3.32, 5 Sb 3.36-3.37
Ir  0.3139  0.3139  0.6278  4 Sb 2.71

=====

Record 6
Here is Ca2SbIr at its PBEsol-relaxed geometry from Alexandria via LeMat-Bulk. Energies are from SCAN.

Results
Energy relative to the elements, uncorrected in eV per atom: -0.45
M_tot in μB/f.u.: 0.00

Cell lengths 3.4273, 5.1565, 5.1565 Å; angles 105.17, 90.00, 90.00 degrees
With the nearest neighbours (Å) after each atom.
Fractional coordinates of all 4 atoms:
Sb  0.5000  0.5000  0.5000  8 Ca 3.10, 2 Ir 3.13, 2 Sb 3.43
Ca  0.0000  0.5000  0.0000  4 Ir 3.10, 4 Sb 3.10, 4 Ca 3.13-3.43
Ca  0.0000  0.0000  0.5000  4 Sb 3.10, 4 Ir 3.10, 4 Ca 3.13-3.43
Ir  0.5000  0.0000  0.0000  8 Ca 3.10, 2 Sb 3.13, 2 Ir 3.43

=====

Record 7
Here is CaSbTe2Ir at its PBEsol-relaxed geometry from Alexandria via LeMat-Bulk. Energies are from SCAN.

Results
Energy relative to the elements, uncorrected in eV per atom: -0.20
M_tot in μB/f.u.: 0.00

Cell lengths 4.8470, 5.5182, 5.5182 Å; angles 90.00, 90.00, 90.00 degrees
With the nearest neighbours (Å) after each atom.
Fractional coordinates of all 5 atoms:
Sb  0.5000  0.0000  0.0000  2 Ir 2.42
Ca  0.5000  0.5000  0.5000  8 Te 3.67, 4 Sb 3.90
Ir  0.0000  0.0000  0.0000  2 Sb 2.42
Te  0.0000  0.0000  0.5000  2 Ir 2.76
Te  0.0000  0.5000  0.0000  2 Ir 2.76

=====

Record 8
Here is CaSb2TeIr at its PBEsol-relaxed geometry from Alexandria via LeMat-Bulk. Energies are from SCAN.

Results
Energy relative to the elements, uncorrected in eV per atom: 1.57
M_tot in μB/f.u.: 2.41

Cell lengths 5.3849, 5.4398, 5.4398 Å; angles 90.00, 90.00, 90.00 degrees
With the nearest neighbours (Å) after each atom.
Fractional coordinates of all 5 atoms:
Sb  0.0000  0.0000  0.5000  2 Ca 2.72
Sb  0.0000  0.5000  0.0000  2 Ca 2.72
Ca  0.0000  0.0000  0.0000  2 Te 2.69, 4 Sb 2.72
Ir  0.5000  0.5000  0.5000  8 Sb 3.83, 4 Te 3.85
Te  0.5000  0.0000  0.0000  2 Ca 2.69

=====

Record 9
Here is Ca2ScIr at its PBEsol-relaxed geometry from Alexandria via LeMat-Bulk. Energies are from SCAN.

Results
ΔH_f (0 K) in meV per atom: -422
M_tot in μB/f.u.: 0.06

Cell lengths 3.3311, 3.3311, 9.2639 Å; angles 90.00, 90.00, 90.00 degrees
With the nearest neighbours (Å) after each atom.
Fractional coordinates of all 4 atoms:
Sc  0.5000  0.5000  0.6700  4 Ir 2.69
Ca  0.0000  0.0000  0.9744  4 Ca 3.33, 4 Sc 3.67
Ca  0.5000  0.5000  0.3255  4 Ir 3.02, 1 Sc 3.19, 4 Ca 3.33
Ir  0.0000  0.0000  0.5300  4 Sc 2.69

=====

Record 10
Here is CaScIr4 at its PBEsol-relaxed geometry from Alexandria via LeMat-Bulk. Energies are from SCAN.

Results
ΔH_f (0 K) in meV per atom: -741
M_tot in μB/f.u.: 0.07

Cell lengths 5.2350, 5.2350, 5.2350 Å; angles 60.00, 60.00, 60.00 degrees
With the nearest neighbours (Å) after each atom.
Fractional coordinates of all 6 atoms:
Sc  0.7500  0.7500  0.7500  12 Ir 3.07, 4 Ca 3.21
Ca  0.0000  0.0000  0.0000  12 Ir 3.07, 4 Sc 3.21
Ir  0.3751  0.3751  0.3751  6 Ir 2.62
Ir  0.3751  0.3751  0.8747  6 Ir 2.62
Ir  0.8747  0.3751  0.3751  6 Ir 2.62
Ir  0.3751  0.8747  0.3751  6 Ir 2.62

=====

Record 11
Here is Ca2IrSe at its PBEsol-relaxed geometry from Alexandria via LeMat-Bulk. Energies are from SCAN.

Results
Energy above the lowest structure with this stoichiometry in eV/f.u.: 0.12
Energy relative to the elements, uncorrected in eV per atom: -0.84
M_tot in μB/f.u.: 0.00

Cell lengths 3.4925, 4.8738, 4.8738 Å; angles 98.69, 90.00, 90.00 degrees
With the nearest neighbours (Å) after each atom.
Fractional coordinates of all 4 atoms:
Ca  0.0000  0.0000  0.5000  4 Ir 3.00, 4 Se 3.00, 2 Ca 3.18
Ca  0.0000  0.5000  0.0000  4 Se 3.00, 4 Ir 3.00, 2 Ca 3.18
Ir  0.5000  0.0000  0.0000  8 Ca 3.00, 2 Se 3.18
Se  0.5000  0.5000  0.5000  8 Ca 3.00, 2 Ir 3.18

=====

Record 12
Here is Ca2IrSe at its PBEsol-relaxed geometry from Alexandria via LeMat-Bulk. Energies are from SCAN.

Results
Energy above the lowest structure with this stoichiometry in eV/f.u.: 0.22
Energy relative to the elements, uncorrected in eV per atom: -0.81
M_tot in μB/f.u.: 0.49

Cell lengths 3.5280, 4.8533, 4.8533 Å; angles 90.00, 90.00, 90.00 degrees
With the nearest neighbours (Å) after each atom.
Fractional coordinates of all 4 atoms:
Ca  0.0000  0.0000  0.5000  4 Ir 3.00, 4 Se 3.00
Ca  0.0000  0.5000  0.0000  4 Ir 3.00, 4 Se 3.00
Ir  0.5000  0.5000  0.5000  8 Ca 3.00
Se  0.5000  0.0000  0.0000  8 Ca 3.00

=====

Record 13
Here is Ca2IrSe at its PBEsol-relaxed geometry from Alexandria via LeMat-Bulk. Energies are from SCAN.

Results
Energy above the lowest structure with this stoichiometry in eV/f.u.: 0.00
Energy relative to the elements, uncorrected in eV per atom: -0.87
M_tot in μB/f.u.: 0.01

Cell lengths 4.0991, 4.0966, 5.6948 Å; angles 90.00, 111.09, 90.00 degrees
With the nearest neighbours (Å) after each atom.
Fractional coordinates of all 4 atoms:
Ca  0.9842  0.5000  0.9684  4 Ir 2.99, 3 Se 3.05-3.06
Ca  0.2659  0.0000  0.5319  4 Se 2.99, 3 Ir 3.05
Ir  0.5534  0.0000  0.1068  2 Se 2.55
Se  0.6964  0.5000  0.3928  2 Ir 2.55

=====

Record 14
Here is Ca2SiIrSe at its PBEsol-relaxed geometry from Alexandria via LeMat-Bulk. Energies are from SCAN.

Results
Energy relative to the elements, uncorrected in eV per atom: -0.79
M_tot in μB/f.u.: 0.00

Cell lengths 4.4600, 5.3950, 5.3950 Å; angles 90.00, 90.00, 90.00 degrees
With the nearest neighbours (Å) after each atom.
Fractional coordinates of all 5 atoms:
Ca  0.0000  0.0000  0.5000  2 Ir 2.70
Ca  0.0000  0.5000  0.0000  2 Ir 2.70
Ir  0.0000  0.0000  0.0000  2 Si 2.23
Si  0.5000  0.0000  0.0000  2 Ir 2.23
Se  0.5000  0.5000  0.5000  8 Ca 3.50, 4 Si 3.81

=====

Record 15
Here is CaSiIr2 at its PBEsol-relaxed geometry from Alexandria via LeMat-Bulk. Energies are from SCAN.

Results
Energy relative to the elements, uncorrected in eV per atom: -0.21
M_tot in μB/f.u.: 0.00

Cell lengths 2.8830, 2.8830, 7.7762 Å; angles 90.00, 90.00, 90.00 degrees
With the nearest neighbours (Å) after each atom.
Fractional coordinates of all 4 atoms:
Ca  0.5000  0.5000  0.7498  4 Ca 2.88, 4 Ir 2.98, 4 Si 3.09
Ir  0.0000  0.0000  0.0288  8 Ir 2.78-2.88, 4 Ca 2.98
Ir  0.5000  0.5000  0.2710  4 Si 2.47
Si  0.0000  0.0000  0.4504  4 Ir 2.47

=====

Record 16
Here is CaSiIr2 at its PBEsol-relaxed geometry from Alexandria via LeMat-Bulk. Energies are from SCAN.

Results
Energy relative to the elements, uncorrected in eV per atom: -0.13
M_tot in μB/f.u.: 0.00

Cell lengths 3.0267, 3.0267, 8.3751 Å; angles 79.59, 79.59, 60.00 degrees
With the nearest neighbours (Å) after each atom.
Fractional coordinates of all 4 atoms:
Ca  0.0000  0.0000  0.0000  6 Ir 2.97, 6 Ca 3.03
Ir  0.2355  0.2355  0.2934  3 Si 2.43
Ir  0.7645  0.7645  0.7066  3 Si 2.43
Si  0.5000  0.5000  0.5000  6 Ir 2.43

=====

Record 17
Here is Ca2Si2Ir at its PBEsol-relaxed geometry from Alexandria via LeMat-Bulk. Energies are from SCAN.

Results
Energy relative to the elements, uncorrected in eV per atom: -0.69
M_tot in μB/f.u.: 0.00

Cell lengths 4.5876, 6.4326, 6.4326 Å; angles 90.00, 90.00, 90.00 degrees
With the nearest neighbours (Å) after each atom.
Fractional coordinates of all 10 atoms:
Ca  0.5000  0.1788  0.6788  6 Si 2.86-3.07
Ca  0.5000  0.6788  0.8212  6 Si 2.86-3.07
Ca  0.5000  0.8212  0.3212  6 Si 2.86-3.07
Ca  0.5000  0.3212  0.1788  6 Si 2.86-3.07
Ir  0.0000  0.0000  0.0000  4 Si 2.51
Ir  0.0000  0.5000  0.5000  4 Si 2.51
Si  0.0000  0.3659  0.8659  1 Si 2.44, 2 Ir 2.51
Si  0.0000  0.8659  0.6341  1 Si 2.44, 2 Ir 2.51
Si  0.0000  0.6341  0.1341  1 Si 2.44, 2 Ir 2.51
Si  0.0000  0.1341  0.3659  1 Si 2.44, 2 Ir 2.51

=====

Record 18
Here is CaSiIr2 at its PBEsol-relaxed geometry from Alexandria via LeMat-Bulk. Energies are from SCAN.

Results
Energy relative to the elements, uncorrected in eV per atom: -0.22
M_tot in μB/f.u.: 0.00

Cell lengths 2.7973, 3.8825, 6.0886 Å; angles 90.00, 90.00, 90.00 degrees
With the nearest neighbours (Å) after each atom.
Fractional coordinates of all 4 atoms:
Ca  0.5000  0.5000  0.7564  2 Ca 2.80, 5 Ir 2.91-2.95, 4 Si 3.13
Ir  0.0000  0.0000  0.0399  1 Si 2.34
Ir  0.5000  0.5000  0.2792  4 Si 2.55, 6 Ir 2.80
Si  0.0000  0.0000  0.4245  5 Ir 2.34-2.55

=====

Record 19
Here is SrCaIr2 at its PBEsol-relaxed geometry from Alexandria via LeMat-Bulk. Energies are from SCAN.

Results
ΔH_f (0 K) in meV per atom: 105
Energy above the lowest structure with this stoichiometry in eV/f.u.: 2.15
M_tot in μB/f.u.: 0.00

Cell lengths 4.4162, 5.1535, 4.4162 Å; angles 64.63, 90.00, 115.37 degrees
With the nearest neighbours (Å) after each atom.
Fractional coordinates of all 4 atoms:
Sr  0.0000  0.0000  0.0000  8 Ir 3.01, 4 Ca 3.12
Ca  0.5000  0.0000  0.5000  8 Ir 3.01, 4 Sr 3.12
Ir  0.2500  0.5000  0.2500  4 Ca 3.01, 4 Sr 3.01, 4 Ir 3.12
Ir  0.7500  0.5000  0.7500  4 Ca 3.01, 4 Sr 3.01, 4 Ir 3.12

=====

Record 20
Here is Sr4CaIr at its PBEsol-relaxed geometry from Alexandria via LeMat-Bulk. Energies are from SCAN.

Results
ΔH_f (0 K) in meV per atom: 935
M_tot in μB/f.u.: 0.00

Cell lengths 6.7452, 6.7452, 6.7452 Å; angles 60.00, 60.00, 60.00 degrees
With the nearest neighbours (Å) after each atom.
Fractional coordinates of all 6 atoms:
Ca  0.7500  0.7500  0.7500  12 Sr 3.96, 4 Ir 4.13
Ir  0.0000  0.0000  0.0000  12 Sr 3.95, 4 Ca 4.13
Sr  0.3731  0.3731  0.3731  6 Sr 3.32-3.42
Sr  0.3731  0.3731  0.8808  6 Sr 3.32-3.42
Sr  0.8808  0.3731  0.3731  6 Sr 3.32-3.42
Sr  0.3731  0.8808  0.3731  6 Sr 3.32-3.42